Entry 1:
Computed, not measured: a relaxed CaDyAs2Rh2 crystal at the PBE level of DFT.

POSCAR file:
```
CaDyAs2Rh2
1.0
4.344 0.000 0.000
-2.172 3.762 0.000
0.000 0.000 7.354
Ca Dy As Rh
1 1 2 2
Direct
0.000 0.000 0.000
0.000 0.000 0.500
0.333 0.667 0.265
0.667 0.333 0.735
0.333 0.667 0.706
0.667 0.333 0.294
```

Summary:
Electronic total energy in eV for the cell shown: -36.11
Total magnetic moment in μB per atom: 0.000

---

Entry 2:
Computed, not measured: a relaxed CaDyAs2Rh5 crystal at the PBE level of DFT.

POSCAR file:
```
CaDyAs2Rh5
1.0
4.265 0.000 0.000
0.000 4.265 0.000
0.000 0.000 8.657
Ca Dy As Rh
1 1 2 5
Direct
0.000 0.000 0.000
0.000 0.000 0.500
0.500 0.500 0.351
0.500 0.500 0.649
0.000 0.500 0.231
0.000 0.500 0.769
0.500 0.000 0.231
0.500 0.000 0.769
0.500 0.500 0.000
```

Summary:
Electronic total energy in eV for the cell shown: -58.11
Total magnetic moment in μB per atom: 0.000

---

Entry 3:
Computed, not measured: a relaxed Ca2DyAs3Rh4 crystal at the PBE level of DFT.

POSCAR file:
```
Ca2DyAs3Rh4
1.0
4.138 0.000 0.000
0.000 4.138 0.000
0.000 0.000 11.265
Ca Dy As Rh
2 1 3 4
Direct
0.000 0.500 0.229
0.500 0.000 0.771
0.000 0.000 0.500
0.000 0.500 0.873
0.500 0.000 0.127
0.500 0.500 0.500
0.000 0.000 0.000
0.000 0.500 0.660
0.500 0.000 0.340
0.500 0.500 0.000
```

Summary:
Electronic total energy in eV for the cell shown: -60.55
Total magnetic moment in μB per atom: 0.000

---

Entry 4:
Computed, not measured: a relaxed Ca3Dy2TaAs6 crystal at the PBE level of DFT.

POSCAR file:
```
Ca3Dy2TaAs6
1.0
3.508 -6.082 0.000
3.508 6.082 0.000
-2.361 0.000 6.846
Ca Dy Ta As
3 2 1 6
Direct
0.000 0.000 0.000
0.328 0.672 0.000
0.672 0.328 0.000
0.166 0.834 0.500
0.834 0.166 0.500
0.500 0.500 0.500
0.112 0.424 0.272
0.267 0.267 0.730
0.424 0.112 0.272
0.576 0.888 0.728
0.733 0.733 0.270
0.888 0.576 0.728
```

Summary:
Electronic total energy in eV for the cell shown: -68.07
Total magnetic moment in μB per atom: 0.000

---

Entry 5:
Computed, not measured: a relaxed CaTbDy2As4 crystal at the PBE level of DFT.

POSCAR file:
```
CaTbDy2As4
1.0
7.202 0.000 0.000
0.000 4.140 0.000
-2.383 0.000 6.804
Ca Tb Dy As
1 1 2 4
Direct
0.000 0.000 0.000
0.500 0.500 0.000
0.000 0.500 0.500
0.500 0.000 0.500
0.252 0.000 0.746
0.257 0.500 0.257
0.743 0.500 0.743
0.748 0.000 0.254
```

Summary:
Electronic total energy in eV for the cell shown: -45.41
Total magnetic moment in μB per atom: 0.000

---

Entry 6:
Computed, not measured: a relaxed CaDyTh2As4 crystal at the PBE level of DFT.

POSCAR file:
```
CaDyTh2As4
1.0
7.254 0.000 0.000
0.000 4.238 0.000
-2.472 0.000 6.922
Ca Dy Th As
1 1 2 4
Direct
0.000 0.000 0.000
0.000 0.500 0.500
0.500 0.000 0.500
0.500 0.500 0.000
0.246 0.000 0.746
0.251 0.500 0.253
0.749 0.500 0.747
0.754 0.000 0.254
```

Summary:
Electronic total energy in eV for the cell shown: -51.37
Total magnetic moment in μB per atom: 0.000

---

Number 1: energy of formation -0.92 eV/atom. Number 2: energy of formation -0.61 eV/atom. Number 3: energy of formation -0.86 eV/atom. Number 4: energy of formation -1.09 eV/atom. Number 5: energy of formation -1.37 eV/atom. Number 6: energy of formation -1.42 eV/atom.